First-principles (GGA-PBE) data for a relaxed structure of Mn2WAu, as listed in Alexandria.

DOS at the Fermi energy: 1.012 states/eV per atom
Offset from the most stable computed form: 0.190 eV per atom
VASP energy: -33.19 eV per formula unit
DFT formation energy: 0.345 eV per atom

Cell: 9.041 9.041 9.041 Å, 17.76 17.76 17.76°
Sites, in units of the cell vectors:
Au (0.746, 0.746, 0.746)
Mn (0.256, 0.256, 0.256)
W (0.505, 0.505, 0.505)
Mn (0.993, 0.993, 0.993)

First-principles (GGA-PBE) data for a relaxed structure of Mn2WAu, as listed in Alexandria.

DOS at the Fermi energy: 1.012 states/eV per atom
Offset from the most stable computed form: 0.580 eV per atom
VASP energy: -31.63 eV per formula unit
DFT formation energy: 0.735 eV per atom

Cell: 6.867 6.867 5.571 Å, 51.95 51.95 90.00°
Sites, in units of the cell vectors:
Mn (0.146, 0.625, 0.250)
Mn (0.875, 0.854, 0.750)
Au (0.750, 0.250, 0.500)
W (0.500, 0.500, 0.000)
W (0.250, 0.750, 0.500)
Mn (0.604, 0.125, 0.250)
Au (0.000, 0.000, 0.000)
Mn (0.375, 0.396, 0.750)

First-principles (GGA-PBE) data for a relaxed structure of Mn2WAu, as listed in Alexandria.

DOS at the Fermi energy: 1.389 states/eV per atom
Offset from the most stable computed form: 0.297 eV per atom
VASP energy: -32.76 eV per formula unit
DFT formation energy: 0.452 eV per atom

Cell: 4.400 4.400 4.400 Å, 60.00 60.00 60.00°
Sites, in units of the cell vectors:
W (0.250, 0.250, 0.250)
Au (0.500, 0.500, 0.500)
Mn (0.000, 0.000, 0.000)
Mn (0.750, 0.750, 0.750)